InAg2Br, relaxed, DFT PBE; calculated total energy = -10.388 eV per cell; total magnetization = 0.0 Bohr magnetons per cell; raw formation energy = -0.07 eV per atom; polymorph energy (0 for the lowest one) = 0.000 eV/f.u.
1.0
1.833 1.058 8.057
-1.833 1.058 8.057
0.000 -2.117 8.057
In Ag Br
1 2 1
direct
0.000 0.000 0.000
0.250 0.250 0.250
0.750 0.750 0.750
0.500 0.500 0.500

***

InAg2Br, relaxed, DFT PBE; calculated total energy = -9.834 eV per cell; total magnetization = 0.0 Bohr magnetons per cell; raw formation energy = 0.07 eV per atom; polymorph energy (0 for the lowest one) = 0.554 eV/f.u.
1.0
3.010 -4.371 0.000
3.010 4.371 0.000
0.000 0.000 3.434
In Ag Br
1 2 1
direct
0.000 0.000 0.000
0.000 0.500 0.500
0.500 0.000 0.500
0.500 0.500 0.000

***

In2AgBr, relaxed, DFT PBE; calculated total energy = -10.615 eV per cell; total magnetization = 0.0 Bohr magnetons per cell; raw formation energy = -0.15 eV per atom; polymorph energy (0 for the lowest one) = 0.045 eV/f.u.
1.0
1.967 1.136 8.019
-1.967 1.136 8.019
0.000 -2.271 8.019
In Ag Br
2 1 1
direct
0.240 0.240 0.240
0.760 0.760 0.760
0.500 0.500 0.500
0.000 0.000 0.000

***

InAg2Br, relaxed, DFT PBE; calculated total energy = -10.302 eV per cell; total magnetization = 0.0 Bohr magnetons per cell; raw formation energy = -0.05 eV per atom; polymorph energy (0 for the lowest one) = 0.086 eV/f.u.
1.0
3.637 0.000 0.000
0.000 3.989 0.000
-0.111 0.000 6.852
In Ag Br
1 2 1
direct
0.000 0.000 0.000
0.492 0.500 0.796
0.508 0.500 0.204
0.500 0.000 0.500

***

InAg2Br, relaxed, DFT PBE; calculated total energy = -10.321 eV per cell; total magnetization = 0.0 Bohr magnetons per cell; raw formation energy = -0.05 eV per atom; polymorph energy (0 for the lowest one) = 0.067 eV/f.u.
1.0
1.844 1.065 8.156
-1.844 1.065 8.156
0.000 -2.129 8.156
In Ag Br
1 2 1
direct
0.000 0.000 0.000
0.490 0.490 0.490
0.747 0.747 0.747
0.240 0.240 0.240

***

InAg3Br4, relaxed, DFT PBE; calculated total energy = -21.160 eV per cell; total magnetization = 0.0 Bohr magnetons per cell; raw formation energy = -0.40 eV per atom
1.0
-3.296 3.296 6.446
3.296 -3.296 6.446
3.296 3.296 -6.446
In Ag Br
1 3 4
direct
0.000 0.000 0.000
0.250 0.750 0.500
0.500 0.500 0.000
0.750 0.250 0.500
0.140 0.140 0.560
0.420 0.860 0.000
0.580 0.580 0.440
0.860 0.420 0.000

***

InAg2Br, relaxed, DFT PBE; calculated total energy = -10.129 eV per cell; total magnetization = 0.0 Bohr magnetons per cell; raw formation energy = 0.00 eV per atom; polymorph energy (0 for the lowest one) = 0.259 eV/f.u.
1.0
2.435 -2.445 0.000
2.435 2.445 0.000
0.000 0.000 7.746
In Ag Br
1 2 1
direct
0.000 0.000 0.000
0.000 0.000 0.455
0.500 0.500 0.243
0.500 0.500 0.694

***

In2Ag2Br7, relaxed, DFT PBE; calculated total energy = -28.888 eV per cell; total magnetization = 0.0 Bohr magnetons per cell; raw formation energy = -0.55 eV per atom
1.0
4.319 -6.590 0.000
4.319 6.590 0.000
-0.069 0.000 7.656
In Ag Br
2 2 7
direct
0.206 0.206 0.372
0.794 0.794 0.628
0.208 0.792 0.000
0.792 0.208 0.000
0.067 0.423 0.198
0.105 0.105 0.716
0.423 0.067 0.198
0.500 0.500 0.500
0.577 0.933 0.802
0.895 0.895 0.284
0.933 0.577 0.802